# 1
# La2NdPuN4 PBE optimized geometry
# Calculated total energy, eV per atom: -9.075
# Formation energy from raw total energies, meV/atom: -1292
data_La2NdPuN4
_chemical_formula_sum 'La2 Nd1 Pu1 N4'
_cell_length_a 6.287
_cell_length_b 3.646
_cell_length_c 6.326
_cell_angle_alpha 90.00
_cell_angle_beta 109.20
_cell_angle_gamma 90.00
_symmetry_space_group_name_H-M 'P 1 2/m 1'
_symmetry_Int_Tables_number 10
_symmetry_space_group_name_Hall '-P 2y'
loop_
_atom_site_label
_atom_site_fract_x
_atom_site_fract_y
_atom_site_fract_z
La1 0.000 0.000 0.000
La2 0.500 0.500 0.000
Nd1 0.000 0.500 0.500
Pu1 0.500 0.000 0.500
N1 0.261 0.000 0.733
N2 0.270 0.500 0.274

---

# 2
# La2Nd3PuN6 PBE optimized geometry
# Calculated total energy, eV per atom: -8.688
# Formation energy from raw total energies, meV/atom: -1317
data_La2Nd3PuN6
_chemical_formula_sum 'La4 Nd6 Pu2 N12'
_cell_length_a 6.328
_cell_length_b 10.953
_cell_length_c 6.306
_cell_angle_alpha 90.00
_cell_angle_beta 109.60
_cell_angle_gamma 90.00
_symmetry_space_group_name_H-M 'C 1 2/m 1'
_symmetry_Int_Tables_number 12
_symmetry_space_group_name_Hall '-C 2y'
loop_
_atom_site_label
_atom_site_fract_x
_atom_site_fract_y
_atom_site_fract_z
La1 0.000 0.166 0.000
Nd1 0.000 0.000 0.500
Nd2 0.000 0.337 0.500
Pu1 0.000 0.500 0.000
N1 0.232 0.347 0.238
N2 0.232 0.500 0.754

---

# 3
# La4Nd3PuN8 PBE optimized geometry
# Calculated total energy, eV per atom: -8.494
# Formation energy from raw total energies, meV/atom: -1310
data_La4Nd3PuN8
_chemical_formula_sum 'La12 Nd9 Pu3 N24'
_cell_length_a 7.3352
_cell_length_b 7.3352
_cell_length_c 18.0369
_cell_angle_alpha 90.00
_cell_angle_beta 90.00
_cell_angle_gamma 120.00
_symmetry_space_group_name_H-M 'R -3 m'
_symmetry_Int_Tables_number 166
_symmetry_space_group_name_Hall '-R 3 2"'
loop_
_atom_site_label
_atom_site_fract_x
_atom_site_fract_y
_atom_site_fract_z
La1 0.0000 0.0000 0.0000
La2 0.0000 0.5000 0.0000
Nd1 0.0000 0.5000 0.5000
Pu1 0.0000 0.0000 0.5000
N1 0.0000 0.0000 0.2490
N2 0.0136 0.5068 0.2448

---

# 4
# LaNdReN4 PBE optimized geometry
# Calculated total energy, eV per atom: -8.838
# Formation energy from raw total energies, meV/atom: -917
data_LaNdReN4
_chemical_formula_sum 'La2 Nd2 Re2 N8'
_cell_length_a 3.927
_cell_length_b 3.927
_cell_length_c 12.682
_cell_angle_alpha 90.00
_cell_angle_beta 90.00
_cell_angle_gamma 90.00
_symmetry_space_group_name_H-M 'I 4 m m'
_symmetry_Int_Tables_number 107
_symmetry_space_group_name_Hall 'I 4 -2'
loop_
_atom_site_label
_atom_site_fract_x
_atom_site_fract_y
_atom_site_fract_z
La1 0.000 0.000 0.000
Nd1 0.000 0.000 0.708
Re1 0.000 0.000 0.354
N1 0.000 0.000 0.188
N2 0.000 0.000 0.519
N3 0.000 0.500 0.353

---

# 5
# LaNd2RhN4 PBE optimized geometry
# Calculated total energy, eV per atom: -7.715
# Formation energy from raw total energies, meV/atom: -825
data_LaNd2RhN4
_chemical_formula_sum 'La4 Nd8 Rh4 N16'
_cell_length_a 3.540
_cell_length_b 12.136
_cell_length_c 11.960
_cell_angle_alpha 90.00
_cell_angle_beta 90.00
_cell_angle_gamma 90.00
_symmetry_space_group_name_H-M 'C m c m'
_symmetry_Int_Tables_number 63
_symmetry_space_group_name_Hall '-C 2c 2'
loop_
_atom_site_label
_atom_site_fract_x
_atom_site_fract_y
_atom_site_fract_z
La1 0.000 0.109 0.250
Nd1 0.000 0.369 0.046
Rh1 0.000 0.153 0.750
N1 0.000 0.000 0.000
N2 0.000 0.275 0.633
N3 0.000 0.443 0.250

---

# 6
# La2NdRuN4 PBE optimized geometry
# Calculated total energy, eV per atom: -7.980
# Formation energy from raw total energies, meV/atom: -830
data_La2NdRuN4
_chemical_formula_sum 'La8 Nd4 Ru4 N16'
_cell_length_a 3.533
_cell_length_b 12.140
_cell_length_c 12.365
_cell_angle_alpha 90.00
_cell_angle_beta 90.00
_cell_angle_gamma 90.00
_symmetry_space_group_name_H-M 'C m c m'
_symmetry_Int_Tables_number 63
_symmetry_space_group_name_Hall '-C 2c 2'
loop_
_atom_site_label
_atom_site_fract_x
_atom_site_fract_y
_atom_site_fract_z
La1 0.000 0.132 0.043
Nd1 0.000 0.379 0.250
Ru1 0.000 0.350 0.750
N1 0.000 0.072 0.250
N2 0.000 0.225 0.639
N3 0.000 0.500 0.000